No. 1
Compound: LiTh2Zn
Source: Alexandria
Functional: PBE
Structure: relaxed

Output
DOS at the Fermi energy, states/eV per cell: 3.312
Distance to the lowest polymorph of the same formula, meV/atom: 203
Density, g cm⁻³: 7.77
Symmetry: R-3m (166)
Crystal system: trigonal
ΔE_f, meV per atom: 222

a = 3.367 Å, b = 3.367 Å, c = 11.830 Å
α = 81.82°, β = 81.82°, γ = 60.00°
Positions (direct):
Th  0.904  0.904  0.289
Th  0.096  0.096  0.711
Li  0.000  0.000  0.000
Zn  0.500  0.500  0.500



No. 2
Compound: LiThZn
Source: Alexandria
Functional: PBE
Structure: relaxed

Output
DOS at the Fermi energy, states/eV per cell: 2.800
Distance to the lowest polymorph of the same formula, meV/atom: 44
Density, g cm⁻³: 7.64
Symmetry: P-6m2 (187)
Crystal system: hexagonal
ΔE_f, meV per atom: -33

a = 3.341 Å, b = 4.781 Å, c = 4.781 Å
α = 120.00°, β = 90.00°, γ = 90.00°
Positions (direct):
Th  0.667  0.333  0.667
Zn  0.166  0.000  0.000
Li  0.167  0.667  0.333



No. 3
Compound: LiTh2Zn
Source: Alexandria
Functional: PBE
Structure: relaxed

Output
DOS at the Fermi energy, states/eV per cell: 3.052
Distance to the lowest polymorph of the same formula, meV/atom: 12
Density, g cm⁻³: 8.98
Symmetry: Fm-3m (225)
Crystal system: cubic
ΔE_f, meV per atom: 31

a = 5.195 Å, b = 5.195 Å, c = 5.195 Å
α = 60.00°, β = 60.00°, γ = 60.00°
Positions (direct):
Zn  0.500  0.500  0.500
Th  0.750  0.750  0.750
Th  0.250  0.250  0.250
Li  0.000  0.000  0.000



No. 4
Compound: Li2Th3Zn7
Source: Alexandria
Functional: PBE
Structure: relaxed

Output
DOS at the Fermi energy, states/eV per cell: 9.682
Density, g cm⁻³: 8.44
Symmetry: R-3m (166)
Crystal system: trigonal
ΔE_f, meV per atom: -187

a = 5.535 Å, b = 5.535 Å, c = 9.228 Å
α = 72.55°, β = 72.55°, γ = 60.00°
Positions (direct):
Th  0.000  0.000  0.000
Th  0.858  0.858  0.426
Th  0.142  0.142  0.574
Li  0.666  0.666  0.001
Li  0.334  0.334  0.999
Zn  0.582  0.076  0.760
Zn  0.418  0.924  0.240
Zn  0.500  0.500  0.500
Zn  0.076  0.582  0.760
Zn  0.418  0.418  0.240
Zn  0.582  0.582  0.760
Zn  0.924  0.418  0.240



No. 5
Compound: LiThZn10
Source: Alexandria
Functional: PBE
Structure: relaxed

Output
DOS at the Fermi energy, states/eV per cell: 4.066
Density, g cm⁻³: 7.17
Symmetry: Pmmm (47)
Crystal system: orthorhombic
ΔE_f, meV per atom: -156

a = 4.298 Å, b = 5.186 Å, c = 9.277 Å
α = 90.00°, β = 90.00°, γ = 90.00°
Positions (direct):
Zn  0.000  0.000  0.700
Zn  0.000  0.500  0.151
Zn  0.500  0.500  0.000
Zn  0.000  0.000  0.300
Zn  0.500  0.000  0.500
Zn  0.000  0.500  0.849
Zn  0.500  0.257  0.742
Zn  0.500  0.743  0.258
Zn  0.500  0.257  0.258
Zn  0.500  0.743  0.742
Li  0.000  0.000  0.000
Th  0.000  0.500  0.500



No. 6
Compound: LiThZn2
Source: Alexandria
Functional: PBE
Structure: relaxed

Output
DOS at the Fermi energy, states/eV per cell: 3.510
Density, g cm⁻³: 7.75
Symmetry: P4/mmm (123)
Crystal system: tetragonal
ΔE_f, meV per atom: -137

a = 3.330 Å, b = 3.330 Å, c = 7.150 Å
α = 90.00°, β = 90.00°, γ = 90.00°
Positions (direct):
Zn  0.000  0.000  0.195
Zn  0.000  0.000  0.805
Th  0.500  0.500  0.500
Li  0.500  0.500  0.000



No. 7
Compound: Li4ThZn
Source: Alexandria
Functional: PBE
Structure: relaxed

Output
DOS at the Fermi energy, states/eV per cell: 2.315
Density, g cm⁻³: 4.78
Symmetry: F-43m (216)
Crystal system: cubic
ΔE_f, meV per atom: 126

a = 5.425 Å, b = 5.425 Å, c = 5.425 Å
α = 60.00°, β = 60.00°, γ = 60.00°
Positions (direct):
Zn  0.000  0.000  0.000
Li  0.628  0.628  0.628
Li  0.628  0.628  0.117
Li  0.117  0.628  0.628
Li  0.628  0.117  0.628
Th  0.250  0.250  0.250



No. 8
Compound: LiThZn11
Source: Alexandria
Functional: PBE
Structure: relaxed

Output
DOS at the Fermi energy, states/eV per cell: 3.181
Density, g cm⁻³: 7.60
Symmetry: C2/m (12)
Crystal system: monoclinic
ΔE_f, meV per atom: -180

a = 5.265 Å, b = 6.831 Å, c = 6.820 Å
α = 81.57°, β = 67.30°, γ = 67.67°
Positions (direct):
Zn  0.000  0.000  0.500
Zn  0.501  0.223  0.781
Zn  0.283  0.223  0.219
Zn  0.717  0.777  0.781
Zn  0.987  0.357  0.648
Zn  0.000  0.500  0.000
Zn  0.500  0.000  0.500
Zn  0.013  0.643  0.352
Zn  0.499  0.777  0.219
Zn  0.365  0.643  0.648
Zn  0.635  0.357  0.352
Th  0.000  0.000  0.000
Li  0.500  0.500  0.000



No. 9
Compound: LiThZn4
Source: Alexandria
Functional: PBE
Structure: relaxed

Output
DOS at the Fermi energy, states/eV per cell: 14.499
Distance to the lowest polymorph of the same formula, meV/atom: 157
Density, g cm⁻³: 7.25
Symmetry: I4/mmm (139)
Crystal system: tetragonal
ΔE_f, meV per atom: 1

a = 8.460 Å, b = 8.460 Å, c = 8.460 Å
α = 100.89°, β = 113.92°, γ = 113.92°
Positions (direct):
Th  0.500  0.250  0.750
Th  0.000  0.861  0.861
Th  0.500  0.750  0.250
Th  0.000  0.139  0.139
Zn  0.000  0.143  0.499
Zn  0.644  0.501  0.501
Zn  0.356  0.857  0.857
Zn  0.558  0.685  0.873
Zn  0.812  0.127  0.685
Zn  0.000  0.857  0.501
Zn  0.000  0.501  0.857
Zn  0.188  0.315  0.873
Zn  0.188  0.873  0.315
Zn  0.356  0.499  0.499
Zn  0.442  0.315  0.127
Zn  0.000  0.499  0.143
Zn  0.442  0.127  0.315
Zn  0.812  0.685  0.127
Zn  0.558  0.873  0.685
Zn  0.644  0.143  0.143
Li  0.813  0.500  0.313
Li  0.187  0.500  0.687
Li  0.187  0.687  0.500
Li  0.813  0.313  0.500



No. 10
Compound: LiThZn
Source: Alexandria
Functional: PBE
Structure: relaxed

Output
DOS at the Fermi energy, states/eV per cell: 3.648
Distance to the lowest polymorph of the same formula, meV/atom: 0
Density, g cm⁻³: 7.75
Symmetry: P4/nmm (129)
Crystal system: tetragonal
ΔE_f, meV per atom: -77

a = 3.357 Å, b = 3.357 Å, c = 11.577 Å
α = 90.00°, β = 90.00°, γ = 90.00°
Positions (direct):
Zn  0.372  0.791  0.947
Zn  0.872  0.291  0.565
Th  0.872  0.291  0.134
Th  0.372  0.791  0.378
Li  0.872  0.291  0.828
Li  0.372  0.791  0.684



No. 11
Compound: LiThZn3
Source: Alexandria
Functional: PBE
Structure: relaxed

Output
DOS at the Fermi energy, states/eV per cell: 6.472
Density, g cm⁻³: 7.59
Symmetry: P2_1/m (11)
Crystal system: monoclinic
ΔE_f, meV per atom: -164

a = 5.950 Å, b = 5.951 Å, c = 5.971 Å
α = 90.00°, β = 90.00°, γ = 64.32°
Positions (direct):
Zn  0.122  0.325  0.552
Zn  0.495  0.269  0.802
Zn  0.066  0.697  0.302
Zn  0.066  0.697  0.803
Zn  0.439  0.641  0.052
Zn  0.495  0.269  0.303
Li  0.880  0.082  0.552
Li  0.680  0.884  0.052
Th  0.009  0.212  0.052
Th  0.551  0.754  0.552



No. 12
Compound: Li2ThZn4
Source: Alexandria
Functional: PBE
Structure: relaxed

Output
DOS at the Fermi energy, states/eV per cell: 4.313
Density, g cm⁻³: 6.78
Symmetry: I4/mmm (139)
Crystal system: tetragonal
ΔE_f, meV per atom: -224

a = 5.067 Å, b = 5.562 Å, c = 5.562 Å
α = 78.03°, β = 62.90°, γ = 62.90°
Positions (direct):
Zn  0.310  0.381  0.000
Zn  0.690  0.000  0.619
Zn  0.690  0.619  0.000
Zn  0.310  0.000  0.381
Li  0.750  0.500  0.500
Li  0.250  0.500  0.500
Th  0.000  0.000  0.000